# 1
First-principles (PBE) data for a relaxed structure of LuZnAgRh, as listed in the Alexandria database.

## Properties
As for the density: 10.611 g cm⁻³. For the density of states at the Fermi level, the calculation gives 8.7 states/eV per cell. As for the crystal system: cubic. Its total energy is -4.443 eV/atom.

a = 6.561 Å, b = 6.561 Å, c = 6.561 Å
α = 90.00°, β = 90.00°, γ = 90.00°
Space group F-43m (No. 216)
Symmetry-distinct sites (fractional):
Lu 0.000 0.000 0.000 x4
Zn 0.000 0.000 0.500 x4
Ag 0.250 0.250 0.250 x4
Rh 0.250 0.250 0.750 x4

# 2
First-principles (PBE) data for a relaxed structure of BaHgBr6, as listed in the Alexandria database.

## Properties
As for the density: 4.173 g cm⁻³. For the energy relative to the elements, uncorrected, the calculation gives -0.94 eV per atom. As for the crystal system: triclinic.

a = 4.933 Å, b = 8.079 Å, c = 8.483 Å
α = 89.50°, β = 74.40°, γ = 87.33°
Space group P-1 (No. 2)
Symmetry-distinct sites (fractional):
Ba 0.000 0.000 0.000 x1
Hg 0.500 0.500 0.000 x1
Br 0.028 0.110 0.594 x2
Br 0.094 0.368 0.816 x2
Br 0.421 0.221 0.166 x2

# 3
First-principles (PBE) data for a relaxed structure of Cs2CrH, as listed in the Alexandria database.

## Properties
As for the density: 3.069 g cm⁻³. For the density of states at the Fermi level, the calculation gives 0.0 states/eV per cell. As for the crystal system: cubic. Its total energy is -2.912 eV/atom.

a = 8.837 Å, b = 8.837 Å, c = 8.837 Å
α = 90.00°, β = 90.00°, γ = 90.00°
Space group Fm-3m (No. 225)
Symmetry-distinct sites (fractional):
Cs 0.250 0.250 0.250 x8
Cr 0.000 0.000 0.000 x4
H 0.000 0.000 0.500 x4

# 4
First-principles (PBE) data for a relaxed structure of Ba5DySe6, as listed in the Alexandria database.

## Properties
As for the density: 5.330 g cm⁻³. For the density of states at the Fermi level, the calculation gives 5.1 states/eV per cell. For the energy relative to the elements, uncorrected, the calculation gives -1.97 eV per atom. As for the crystal system: monoclinic.

a = 7.976 Å, b = 13.791 Å, c = 7.955 Å
α = 90.00°, β = 109.60°, γ = 90.00°
Space group C2/m (No. 12)
Symmetry-distinct sites (fractional):
Ba 0.000 0.000 0.000 x2
Ba 0.000 0.166 0.500 x4
Ba 0.000 0.329 0.000 x4
Dy 0.000 0.500 0.500 x2
Se 0.226 0.500 0.266 x4
Se 0.230 0.347 0.732 x8